Density functional theory data (PBEsol) for a geometry-optimized Zn2FeRe structure.

CIF file:
```
data_Zn2FeRe
_space_group_name_H-M_alt 'P 4 m m'
_space_group_IT_number 99
_cell_length_a 2.7502
_cell_length_b 2.7502
_cell_length_c 6.7485
_cell_angle_alpha 90.00
_cell_angle_beta 90.00
_cell_angle_gamma 90.00
loop_
_space_group_symop_operation_xyz
'x,y,z'
'-y,x,z'
'-x,-y,z'
'y,-x,z'
'-x,y,z'
'y,x,z'
'x,-y,z'
'-y,-x,z'
loop_
_atom_site_label
_atom_site_type_symbol
_atom_site_fract_x
_atom_site_fract_y
_atom_site_fract_z
Zn1 Zn 0.0000 0.0000 0.0000
Zn2 Zn 0.5000 0.5000 0.2619
Fe1 Fe 0.0000 0.0000 0.4963
Re1 Re 0.5000 0.5000 0.7198
```

Values from the calculation:
The calculated volume is 12.76 Å³/atom. The energy relative to the elements is 2 kJ/mol of atoms. As for the crystal system: tetragonal. As for the raw total energy: -6.349 eV/atom.